Computed, not measured: a relaxed TmLuPu crystal at the PBE level of DFT.

Properties
Raw total energy, eV/atom: -6.91
Size of the total moment, μB per atom: 2.27
Energy of formation from the pure elements, meV/atom: 800

Cell: 5.2378 5.2378 5.2378 Å, 60.00 60.00 60.00°
Atoms (fractional coordinates):
Tm 0.0000 0.0000 0.0000
Lu 0.7500 0.7500 0.7500
Pu 0.2500 0.2500 0.2500



Computed, not measured: a relaxed YLuPu crystal at the PBE level of DFT.

Properties
Raw total energy, eV/atom: -7.54
Size of the total moment, μB per atom: 2.38
Energy of formation from the pure elements, meV/atom: 828

Cell: 5.2631 5.2631 5.2631 Å, 60.00 60.00 60.00°
Atoms (fractional coordinates):
Y 0.0000 0.0000 0.0000
Lu 0.5000 0.5000 0.5000
Pu 0.2500 0.2500 0.2500



> Number 1 is which compound?

TmLuPu